# Cs2Zn3Te4

A geometry-optimized Cs2Zn3Te4 structure (PBE, the Open Quantum Materials Database).

POSCAR file:
```
Cs2Zn3Te4
1.0
8.7670 -0.1094 5.8665
3.7491 8.8697 -4.3082
-7.4803 -3.8992 6.3347
Cs Te Zn
4 8 6
Direct
0.8780 0.7697 0.6478
0.1220 0.2303 0.3522
0.6220 0.2697 0.8917
0.3780 0.7303 0.1083
0.2832 0.8742 0.8549
0.7832 0.9283 0.4091
0.2168 0.0717 0.5909
0.0193 0.4283 0.1451
0.7168 0.1258 0.1451
0.5193 0.3742 0.5909
0.9807 0.5717 0.8549
0.4807 0.6258 0.4091
0.2500 0.7500 0.5000
0.7500 0.2500 0.5000
0.0198 0.2500 0.7698
0.9802 0.7500 0.2302
0.4802 0.2500 0.2302
0.5198 0.7500 0.7698
```

* mass density: 5.0 Mg/m³
* SG: Ibam
* crystal system: orthorhombic
* final energy: -2.731 eV per atom